(1)
Computed, not measured: an optimized crystal structure of Fe2Mo4CN at the PBE level of DFT.

**Magnetic moment**: 4.04 μB per formula unit

Lattice parameters (Å, degrees): 2.9516 2.9516 13.3426 90.00 90.00 120.00
Space group P-3m1 (No. 164)
Unique sites:
Fe (0.3333, 0.6667, 0.2519) (multiplicity 2)
Mo (0.3333, 0.6667, 0.5911) (multiplicity 2)
Mo (0.3333, 0.6667, 0.9035) (multiplicity 2)
C (0.0000, 0.0000, 0.5000) (multiplicity 1)
N (0.0000, 0.0000, 0.0000) (multiplicity 1)

***

(2)
Computed, not measured: an optimized crystal structure of Ta2CdGe at the PBE level of DFT.

**Magnetic moment**: 0.01 μB per formula unit

Lattice parameters (Å, degrees): 6.659 6.659 6.659 90.00 90.00 90.00
Space group F-43m (No. 216)
Unique sites:
Ta (0.000, 0.000, 0.000) (multiplicity 4)
Ta (0.250, 0.250, 0.250) (multiplicity 4)
Cd (0.250, 0.250, 0.750) (multiplicity 4)
Ge (0.000, 0.000, 0.500) (multiplicity 4)

***

(3)
Computed, not measured: an optimized crystal structure of Y2Ta4Tl3C3 at the PBE level of DFT.

**Magnetic moment**: 0.01 μB per formula unit

Lattice parameters (Å, degrees): 10.111 5.823 14.993 90.00 103.22 90.00
Space group C2/c (No. 15)
Unique sites:
Y (0.043, 0.078, 0.398) (multiplicity 8)
Ta (0.109, 0.403, 0.572) (multiplicity 8)
Ta (0.232, 0.424, 0.928) (multiplicity 8)
Tl (0.000, 0.477, 0.250) (multiplicity 4)
Tl (0.199, 0.115, 0.754) (multiplicity 8)
C (0.088, 0.265, 0.000) (multiplicity 8)
C (0.250, 0.250, 0.500) (multiplicity 4)

***

(4)
Computed, not measured: an optimized crystal structure of UCdIn at the PBE level of DFT.

**Magnetic moment**: 2.98 μB per formula unit

Lattice parameters (Å, degrees): 6.968 6.968 6.968 90.00 90.00 90.00
Space group F-43m (No. 216)
Unique sites:
U (0.000, 0.000, 0.000) (multiplicity 4)
Cd (0.000, 0.000, 0.500) (multiplicity 4)
In (0.250, 0.250, 0.750) (multiplicity 4)

***

(5)
Computed, not measured: an optimized crystal structure of Y2GePt2 at the PBE level of DFT.

**Magnetic moment**: 0.00 μB per formula unit

Lattice parameters (Å, degrees): 3.898 3.898 14.427 90.00 90.00 90.00
Space group I4/mmm (No. 139)
Unique sites:
Y (0.000, 0.000, 0.110) (multiplicity 4)
Ge (0.000, 0.000, 0.500) (multiplicity 2)
Pt (0.000, 0.500, 0.250) (multiplicity 4)

***

(6)
Computed, not measured: an optimized crystal structure of ZrMoAs2 at the PBE level of DFT.

**Magnetic moment**: 0.01 μB per formula unit

Lattice parameters (Å, degrees): 6.560 6.560 6.560 90.00 90.00 90.00
Space group F-43m (No. 216)
Unique sites:
Zr (0.000, 0.000, 0.000) (multiplicity 4)
Mo (0.250, 0.250, 0.750) (multiplicity 4)
As (0.000, 0.000, 0.500) (multiplicity 4)
As (0.250, 0.250, 0.250) (multiplicity 4)

***

(7)
Computed, not measured: an optimized crystal structure of SrGdBi at the PBE level of DFT.

**Magnetic moment**: 0.05 μB per formula unit

Lattice parameters (Å, degrees): 7.816 7.816 7.816 90.00 90.00 90.00
Space group F-43m (No. 216)
Unique sites:
Sr (0.000, 0.000, 0.000) (multiplicity 4)
Gd (0.250, 0.250, 0.750) (multiplicity 4)
Bi (0.000, 0.000, 0.500) (multiplicity 4)

***

(8)
Computed, not measured: an optimized crystal structure of SrAgTe at the PBE level of DFT.

**ΔE to the lowest computed polymorph**: 0.000 eV/atom

Lattice parameters (Å, degrees): 7.228 7.228 7.228 90.00 90.00 90.00
Space group F-43m (No. 216)
Unique sites:
Sr (0.000, 0.000, 0.000) (multiplicity 4)
Ag (0.250, 0.250, 0.250) (multiplicity 4)
Te (0.000, 0.000, 0.500) (multiplicity 4)

***

no.,total energy (eV per atom)
1,-9.538
2,-6.754
3,-8.281
4,-4.384
5,-6.630
6,-7.165
7,-3.413
8,-3.173